Entry from Alexandria: an optimized crystal structure of NaBeSCl2 (GGA-PBEsol).

Lattice parameters (Å, degrees): 4.794 4.794 5.098 90.00 90.00 90.00
Last column: magnetic moment on the atom in μB.
Sites, in units of the cell vectors:
Cl 0.500 0.000 0.000  0.15
Cl 0.000 0.500 0.000  0.15
S 0.000 0.000 0.500  0.59
Be 0.500 0.500 0.500  -0.08
Na 0.000 0.000 0.000  0.01

Output
* space group: P4/mmm, No. 123
* formation energy from raw total energies: 237 kJ/mol of formula units
* energy: -2.268 eV/atom